## Pr8Nd4Th (PBE-GGA)

Data for a relaxed structure of Pr8Nd4Th.

Computed properties:
M_tot: 0.000 μB per formula unit
symmetry: R-3m, No. 166
electronic total energy: -59.60 eV for the cell shown

Lattice parameters (Å, degrees): 7.9575 7.9575 7.9575 97.36 97.36 97.36
Fractional positions:
Pr  0.1699  0.1699  0.6696
Pr  0.1699  0.6696  0.1699
Pr  0.2403  0.2403  0.2403
Pr  0.3304  0.8301  0.8301
Pr  0.6696  0.1699  0.1699
Pr  0.7597  0.7597  0.7597
Pr  0.8301  0.3304  0.8301
Pr  0.8301  0.8301  0.3304
Nd  0.0000  0.0000  0.0000
Nd  0.0000  0.5000  0.5000
Nd  0.5000  0.0000  0.5000
Nd  0.5000  0.5000  0.0000
Th  0.5000  0.5000  0.5000